No. 1
## NaAsSe2I (PBE)

Data for a relaxed structure of NaAsSe2I.

a b c (Å): 5.5186 5.5186 5.5179
angles (deg): 90.00 90.00 90.00
With the nearest neighbours (Å) after each atom.
Space group P4/mmm (No. 123)
Asymmetric unit:
Na  0.0000  0.0000  0.0000 [1 per cell]  8 Se 3.90, 4 As 3.90
As  0.5000  0.5000  0.0000 [1 per cell]  2 I 2.76
Se  0.0000  0.5000  0.5000 [2 per cell]  2 I 2.76
I  0.5000  0.5000  0.5000 [1 per cell]  2 As 2.76, 4 Se 2.76

- E_form (uncorrected) (eV per formula unit) = 2.40
- energy (Ha/atom) = -0.0889
- ΔE to the lowest computed polymorph (meV/atom) = 0
- crystal system = tetragonal
- Fermi-level density of states (states/eV/atom) = 0.66



No. 2
## Ta8NbW2 (PBE)

Data for a relaxed structure of Ta8NbW2.

a b c (Å): 14.2828 5.4212 5.3419
angles (deg): 90.00 102.80 90.00
With the nearest neighbours (Å) after each atom.
Space group C2/m (No. 12)
Asymmetric unit:
Ta  0.0006  0.0000  0.2435 [4 per cell]  2 Ta 2.60-2.74, 1 W 2.89
Ta  0.1079  0.5000  0.0608 [4 per cell]  3 W 2.96-3.08, 5 Ta 3.01-3.15, 2 Nb 3.05-3.08
Ta  0.1668  0.2451  0.5891 [8 per cell]  3 Ta 2.66-2.76, 1 Nb 2.70, 2 W 2.76-2.84
Nb  0.0000  0.5000  0.5000 [2 per cell]  4 Ta 2.70
W  0.1927  0.0000  0.0699 [4 per cell]  9 Ta 2.76-3.08

- energy (Ha/atom) = -0.4301
- ΔE to the lowest computed polymorph (meV/atom) = 235
- crystal system = monoclinic
- Fermi-level density of states (states/eV/atom) = 0.85
- formation energy from the elements (meV per atom) = 188



Look up the energy of the first one. -0.0889 Ha/atom